Entry 1:
The following is a GGA-PBE calculation of a relaxed structure of Li2CaLaHg4, from Alexandria via LeMat-Bulk.

Structure (extended XYZ):
```
8
Lattice="5.1320 0.0000 0.0000 2.5660 4.4444 0.0000 2.5660 1.4815 8.6049" Properties=species:S:1:pos:R:3 pbc="T T T"
Hg 5.1320 2.9629 1.1919
Hg 7.6979 4.4444 3.2146
Ca 5.1320 2.9629 4.3024
Li 2.5660 1.4815 2.2141
Hg 2.5660 1.4815 5.3903
La 0.0000 0.0000 0.0000
Li 7.6979 4.4444 6.3908
Hg 5.1320 2.9629 7.4130
```

Results
* DFT formation energy: -0.4384 eV/atom
* space-group type: R-3m

=====

Entry 2:
The following is a GGA-PBE calculation of a relaxed structure of Tl8In3Bi2, from Alexandria via LeMat-Bulk.

Structure (extended XYZ):
```
13
Lattice="5.3264 -0.5222 0.6192 0.4215 8.7104 3.7067 -1.0829 0.1316 9.4127" Properties=species:S:1:pos:R:3 pbc="T T T"
Tl 1.8981 3.1979 9.7973
Tl 2.7668 5.1220 3.9413
Tl 2.0559 1.0685 6.6374
In -0.7151 2.2291 8.0176
Tl 5.2415 0.6073 2.2950
Tl 2.6089 7.2514 7.1012
In 2.6632 -0.2611 0.3096
Tl 4.9125 4.9969 8.8078
Tl -0.5766 7.7125 11.4436
Bi 2.5040 1.8854 3.4949
Tl -0.2476 3.3230 4.9307
Bi 2.1608 6.4344 10.2437
In 0.0536 6.6130 5.1018
```

Results
* DFT formation energy: 0.0488 eV/atom
* space-group type: Cmmm

=====

Entry 3:
The following is a GGA-PBE calculation of a relaxed structure of NaTl2RuO6, from Alexandria via LeMat-Bulk.

Structure (extended XYZ):
```
10
Lattice="6.0651 0.0000 0.0000 0.0000 6.2407 0.0000 0.0000 -3.1203 5.4046" Properties=species:S:1:pos:R:3 pbc="T T T"
O 1.1338 1.3359 0.7713
Na 3.0325 0.0000 0.0000
O 4.9313 -1.7844 4.6333
O 4.9313 0.0000 1.5426
Tl 0.3670 3.1203 1.8015
Tl 5.6981 0.0000 3.6031
Ru 0.0000 0.0000 0.0000
O 1.1338 3.1203 3.8620
O 1.1338 4.9048 0.7713
O 4.9313 1.7844 4.6333
```

Results
* space-group type: P-3m1
* formation energy (no corrections): -0.706 eV/atom

=====

Entry 4:
The following is a GGA-PBE calculation of a relaxed structure of Cd5In2Sn2, from Alexandria via LeMat-Bulk.

Structure (extended XYZ):
```
18
Lattice="7.2134 0.0000 0.0000 0.0000 8.2044 0.0000 -3.6067 -4.1022 8.0863" Properties=species:S:1:pos:R:3 pbc="T T T"
In 0.6633 4.0341 6.7009
Cd -2.0336 -2.1478 6.6068
Sn 3.6067 4.0400 0.0000
Cd 3.0458 2.7042 5.4574
Cd 5.6403 1.9544 1.4795
Cd 4.8382 0.2102 4.0431
Sn 0.0000 8.1422 0.0000
Cd -1.2315 4.3124 4.0432
In 2.9434 -0.0681 6.7009
In 0.6633 4.0341 1.3854
Cd 0.5609 -1.3979 5.4574
In 2.9434 -0.0681 1.3854
Cd 3.0458 2.7042 2.6289
Cd 0.5609 6.8064 2.6289
Cd -1.5731 1.9544 6.6068
Cd 5.1798 6.0566 1.4795
Sn 0.4273 1.6318 4.0431
Sn 3.1794 5.7340 4.0431
```

Results
* DFT formation energy: 0.0827 eV/atom
* space-group type: Ima2
* relative energy among the computed polymorphs: 38 meV per atom

=====

Entry 5:
The following is a GGA-PBE calculation of a relaxed structure of KBi2Pd4, from Alexandria via LeMat-Bulk.

Structure (extended XYZ):
```
14
Lattice="-1.7772 7.2074 0.1868 2.6201 -1.7202 -6.7317 -6.0433 -4.0683 1.4378" Properties=species:S:1:pos:R:3 pbc="T T T"
Pd -3.2169 0.9547 -1.2490
Bi -0.2312 -1.4598 -5.1727
Bi -4.3071 -0.9683 -3.0744
K -0.8558 -1.4471 -1.3235
Bi -4.9692 2.8787 0.0656
Pd -5.7344 0.2724 1.1249
Pd -1.1577 3.0409 -4.8617
Pd 0.8699 0.5342 -3.4319
Pd 0.5340 1.1466 -6.2320
Bi -0.8933 2.3873 -2.0326
Pd -1.9835 0.4643 -3.8580
Pd -4.0427 -1.6220 -0.2454
Pd -6.0703 0.8847 -1.6751
K -2.5674 -4.3413 -3.9704
```

Results
* DFT formation energy: -0.2997 eV/atom
* space-group type: I4/mcm
* relative energy among the computed polymorphs: 0 meV per atom

=====

Entry 6:
The following is a GGA-PBE calculation of a relaxed structure of Mn2B2Pt, from Alexandria via LeMat-Bulk.

Structure (extended XYZ):
```
5
Lattice="3.6853 0.0000 0.0000 0.0000 3.6853 0.0000 1.8427 1.8427 3.7781" Properties=species:S:1:pos:R:3 pbc="T T T"
Mn 3.6853 3.6853 2.6723
Pt 0.0000 0.0000 0.0000
Mn 1.8427 1.8427 1.1058
B 1.8427 3.6853 1.8891
B 3.6853 1.8427 1.8891
```

Results
* DFT formation energy: 0.2499 eV/atom
* space-group type: I4/mmm
* relative energy among the computed polymorphs: 533 meV per atom

=====

Entry 7:
The following is a GGA-PBE calculation of a relaxed structure of RbZnHg2Se, from Alexandria via LeMat-Bulk.

Structure (extended XYZ):
```
5
Lattice="-2.7716 -4.3578 -1.6246 3.6662 -0.8834 -3.8847 2.7763 -2.9966 3.3016" Properties=species:S:1:pos:R:3 pbc="T T T"
Se 1.3882 -1.4983 1.6508
Hg 1.8331 -0.4417 -1.9423
Rb 1.8354 -4.1189 -1.1038
Hg -1.3858 -2.1789 -0.8123
Zn 0.0000 0.0000 0.0000
```

Results
* space-group type: P4/mmm
* formation energy (no corrections): -0.311 eV/atom

=====

Entry 8:
The following is a GGA-PBE calculation of a relaxed structure of CeEr2NbN4, from Alexandria via LeMat-Bulk.

Structure (extended XYZ):
```
8
Lattice="-3.0929 1.1242 -0.6891 1.1063 -0.4682 -5.7295 -2.2612 -5.0395 1.9273" Properties=species:S:1:pos:R:3 pbc="T T T"
Er -0.5775 -2.7539 -1.9011
N -1.4388 -3.9007 0.0941
Er -2.6770 -1.9576 0.6191
Nb 0.0000 0.0000 0.0000
Ce -0.9933 0.3280 -3.2093
N -1.8266 -0.7502 -1.2280
N 0.2839 -1.6071 -3.8963
N -2.4212 -3.6333 -3.2633
```

Results
* space-group type: P2/m
* formation energy (no corrections): -1.477 eV/atom

=====

Entry 9:
The following is a GGA-PBE calculation of a relaxed structure of MgSbTe2, from Alexandria via LeMat-Bulk.

Structure (extended XYZ):
```
8
Lattice="-2.6553 4.1012 -3.9124 -5.3985 -3.1463 0.3659 -6.1892 4.8970 4.3269" Properties=species:S:1:pos:R:3 pbc="T T T"
Te -5.3076 -0.1457 0.7414
Te -11.5787 4.5726 0.1345
Te -7.7724 3.9665 1.9227
Sb -6.4357 4.7378 -0.6794
Sb 0.0000 0.0000 0.0000
Mg -7.8073 1.1141 1.4598
Mg -4.0269 0.4774 -1.7733
Te -3.8274 3.3104 -1.2378
```

Results
* space-group type: I-42d
* formation energy (no corrections): -0.151 eV/atom
* relative energy among the computed polymorphs: 209 meV per atom

=====

Entry 10:
The following is a GGA-PBE calculation of a relaxed structure of La3Pm6Er2Th, from Alexandria via LeMat-Bulk.

Structure (extended XYZ):
```
12
Lattice="6.2911 0.0005 0.0085 -3.1436 5.4494 0.0085 -1.0636 -1.8417 11.9622" Properties=species:S:1:pos:R:3 pbc="T T T"
Pm -0.0201 -0.0347 9.0544
La 1.0420 1.8041 5.9895
Pm -1.0418 1.7938 2.9093
Er 3.1464 1.8167 0.0085
Th 0.0000 0.0000 0.0000
Er 0.0011 3.6332 0.0085
Pm 3.1257 1.8145 9.0698
Pm 2.1040 3.6430 2.9247
Pm 2.0744 -0.0059 2.9093
Pm 0.0096 3.6142 9.0698
La -2.1027 3.6203 5.9895
La 4.1866 -0.0120 5.9895
```

Results
* DFT formation energy: 0.0282 eV/atom
* space-group type: C2/m

=====

Entry 11:
The following is a GGA-PBE calculation of a relaxed structure of AcGaTe2, from Alexandria via LeMat-Bulk.

Structure (extended XYZ):
```
4
Lattice="5.6452 0.0000 0.0000 2.8226 4.8889 0.0000 2.8226 1.6296 4.6093" Properties=species:S:1:pos:R:3 pbc="T T T"
Ac 5.6452 3.2592 2.3046
Te 2.8226 1.6296 1.1523
Te 8.4678 4.8889 3.4570
Ga 0.0000 0.0000 0.0000
```

Results
* space-group type: Fm-3m
* formation energy (no corrections): -0.947 eV/atom
* relative energy among the computed polymorphs: 144 meV per atom

=====

Entry 12:
The following is a GGA-PBE calculation of a relaxed structure of PmPrAlRu, from Alexandria via LeMat-Bulk.

Structure (extended XYZ):
```
4
Lattice="-2.5855 0.1383 -4.4276 -4.9097 -1.4767 -0.1500 -3.7040 3.4784 -0.6993" Properties=species:S:1:pos:R:3 pbc="T T T"
Ru 0.0000 0.0000 0.0000
Pr -8.3994 1.6050 -3.9577
Al -5.5996 1.0700 -2.6384
Pm -2.7998 0.5350 -1.3192
```

Results
* DFT formation energy: -0.1766 eV/atom
* space-group type: F-43m

=====

Entry 13:
The following is a GGA-PBE calculation of a relaxed structure of MoBr, from Alexandria via LeMat-Bulk.

Structure (extended XYZ):
```
2
Lattice="4.0274 0.0000 0.0000 2.0137 3.4878 0.0000 2.0137 1.1626 3.2883" Properties=species:S:1:pos:R:3 pbc="T T T"
Br 0.0000 0.0000 0.0000
Mo 4.0274 2.3252 1.6442
```

Results
* space-group type: Fm-3m
* formation energy (no corrections): 1.397 eV/atom
* relative energy among the computed polymorphs: 1471 meV per atom

=====

Entry 14:
The following is a GGA-PBE calculation of a relaxed structure of Fe2IrCl, from Alexandria via LeMat-Bulk.

Structure (extended XYZ):
```
4
Lattice="2.8427 -0.0126 0.0000 -1.2336 2.5611 0.0000 0.0000 0.0000 8.0830" Properties=species:S:1:pos:R:3 pbc="T T T"
Ir 0.8045 1.2742 2.0207
Cl 0.8045 1.2742 6.0622
Fe 0.0000 0.0000 4.0639
Fe 0.0000 0.0000 8.0606
```

Results
* space-group type: Cmmm
* formation energy (no corrections): 0.324 eV/atom
* relative energy among the computed polymorphs: 195 meV per atom

=====

Entry 15:
The following is a GGA-PBE calculation of a relaxed structure of NaLi2ThO4, from Alexandria via LeMat-Bulk.

Structure (extended XYZ):
```
8
Lattice="-4.5329 -0.2424 3.1357 0.0763 -0.7714 4.9050 -1.7955 3.8597 2.5571" Properties=species:S:1:pos:R:3 pbc="T T T"
O -5.4287 1.6911 4.4188
O -3.0911 1.0335 7.7478
O -1.7597 3.4711 5.0047
Li -1.5627 0.7119 2.6500
O -2.2248 -0.5040 4.0244
Na -3.1261 1.4229 5.2989
Li -4.6894 2.1340 7.9478
Th 0.0000 0.0000 0.0000
```

Results
* space-group type: I-42m
* formation energy (no corrections): -2.189 eV/atom

=====

Entry 16:
The following is a GGA-PBE calculation of a relaxed structure of Y3AlN, from Alexandria via LeMat-Bulk.

Structure (extended XYZ):
```
5
Lattice="4.6022 0.0000 0.0000 0.0000 4.6022 0.0000 0.0000 0.0000 8.0426" Properties=species:S:1:pos:R:3 pbc="T T T"
Y 2.3011 0.0000 3.4444
Al 0.0000 0.0000 1.2841
N 2.3011 2.3011 3.6764
Y 0.0000 0.0000 6.3572
Y 0.0000 2.3011 3.4444
```

Results
* space-group type: P4mm
* formation energy (no corrections): 0.202 eV/atom

=====

Entry 17:
The following is a GGA-PBE calculation of a relaxed structure of CaCuMo3, from Alexandria via LeMat-Bulk.

Structure (extended XYZ):
```
5
Lattice="-2.7633 3.7270 0.5029 -1.9953 -0.9239 -4.1164 -3.1879 -2.6524 2.1405" Properties=species:S:1:pos:R:3 pbc="T T T"
Mo -0.9976 -0.4619 -2.0582
Mo -1.3817 1.8635 0.2515
Ca -3.9732 0.0754 -0.7365
Cu 0.0000 0.0000 0.0000
Mo -1.5939 -1.3262 1.0702
```

Results
* DFT formation energy: 1.4742 eV/atom
* space-group type: Pm-3m
* relative energy among the computed polymorphs: 0 meV per atom

=====

Entry 18:
The following is a GGA-PBE calculation of a relaxed structure of ScMnGePb2, from Alexandria via LeMat-Bulk.

Structure (extended XYZ):
```
5
Lattice="-1.4261 -4.3176 -2.3718 -1.9295 -1.5711 4.0203 -4.4594 2.1806 -1.2881" Properties=species:S:1:pos:R:3 pbc="T T T"
Mn 0.0000 0.0000 0.0000
Ge -3.9075 -1.8541 0.1802
Sc -0.9648 -0.7856 2.0102
Pb -0.7131 -2.1588 -1.1859
Pb -2.2297 1.0903 -0.6441
```

Results
* DFT formation energy: 0.3511 eV/atom
* space-group type: P4/mmm

=====

Entry 19:
The following is a GGA-PBE calculation of a relaxed structure of Hf2Cr2Fe, from Alexandria via LeMat-Bulk.

Structure (extended XYZ):
```
10
Lattice="-1.4332 1.7538 -5.6002 5.5551 -1.4528 -1.8767 -1.3467 -3.9833 -0.9028" Properties=species:S:1:pos:R:3 pbc="T T T"
Fe 2.0610 0.1505 -3.7384
Cr 2.2711 0.6021 -6.0447
Hf -0.1477 -1.6848 -2.5896
Hf -0.0617 -1.0178 -5.6608
Cr 4.2919 -0.6158 -3.6852
Hf 2.9229 -1.9976 -5.7900
Hf 2.8369 -2.6646 -2.7188
Cr 1.8508 -0.3012 -1.4321
Cr -0.1700 0.9168 -3.7917
Fe 0.0000 0.0000 0.0000
```

Results
* DFT formation energy: 0.1376 eV/atom
* space-group type: P4/mbm
* relative energy among the computed polymorphs: 0 meV per atom

=====

Entry 20:
The following is a GGA-PBE calculation of a relaxed structure of MgZrO2, from Alexandria via LeMat-Bulk.

Structure (extended XYZ):
```
4
Lattice="-5.8357 -1.2120 -1.5366 -5.7657 -1.0307 1.8921 -5.8712 1.8478 0.0222" Properties=species:S:1:pos:R:3 pbc="T T T"
O -2.0378 -0.0461 0.0440
Zr -8.7363 -0.1975 0.1888
O -15.4349 -0.3489 0.3336
Mg 0.0000 0.0000 0.0000
```

Results
* space-group type: R-3m
* formation energy (no corrections): -2.357 eV/atom